# AcTm2WO8 GGA+U relaxed
data_AcTm2WO8
_chemical_formula_sum 'Ac1 Tm2 W1 O8'
_space_group_name_H-M_alt 'P 1'
_space_group_IT_number 1
_space_group_name_Hall 'P 1'
_cell_length_a 4.997
_cell_length_b 4.996
_cell_length_c 7.137
_cell_angle_alpha 90.00
_cell_angle_beta 90.00
_cell_angle_gamma 90.40
loop_
_atom_site_label
_atom_site_type_symbol
_atom_site_fract_x
_atom_site_fract_y
_atom_site_fract_z
_atom_site_occupancy
O1 O 0.333 0.331 0.500 1
O2 O 0.812 0.189 0.800 1
Tm1 Tm 0.500 0.500 0.232 1
W1 W 0.000 0.000 0.000 1
O3 O 0.667 0.669 0.500 1
Ac1 Ac 0.000 0.000 0.500 1
Tm2 Tm 0.500 0.500 0.768 1
O4 O 0.718 0.720 0.000 1
O5 O 0.188 0.811 0.200 1
O6 O 0.282 0.280 0.000 1
O7 O 0.188 0.811 0.800 1
O8 O 0.812 0.189 0.200 1
# E: -94.4 eV for the cell shown